No. 1
A relaxed Ce5Si2Ge crystal. Source: Alexandria via LeMat-Bulk, functional PBE.

Geometry as CIF:
```
data_Ce5Si2Ge
_symmetry_space_group_name_H-M 'C m c m'
_symmetry_Int_Tables_number 63
_symmetry_space_group_name_Hall '-C 2c 2'
_cell_length_a 5.129
_cell_length_b 9.295
_cell_length_c 16.597
_cell_angle_alpha 90.00
_cell_angle_beta 90.00
_cell_angle_gamma 90.00
loop_
_atom_site_label
_atom_site_type_symbol
_atom_site_fract_x
_atom_site_fract_y
_atom_site_fract_z
_atom_site_occupancy
Ce1 Ce 0.000 0.062 0.073 1
Ce2 Ce 0.000 0.270 0.750 1
Ce3 Ce 0.000 0.407 0.100 1
Si1 Si 0.000 0.268 0.571 1
Ge1 Ge 0.000 0.058 0.250 1
```

Size of the total moment ... 13.9 Bohr magnetons per cell
Calculated total energy ... -6.098 eV/atom
Crystal system ... orthorhombic
ΔE_f (raw) ... -456 meV per atom
Energy above the most stable polymorph in this dataset ... 123 meV/atom

---

No. 2
A relaxed Zn2FeCo crystal. Source: Alexandria via LeMat-Bulk, functional PBE.

Geometry as CIF:
```
data_Zn2FeCo
_symmetry_space_group_name_H-M 'C m m 2'
_symmetry_Int_Tables_number 35
_symmetry_space_group_name_Hall 'C 2 -2'
_cell_length_a 2.994
_cell_length_b 4.114
_cell_length_c 8.318
_cell_angle_alpha 90.00
_cell_angle_beta 90.00
_cell_angle_gamma 90.00
loop_
_atom_site_label
_atom_site_type_symbol
_atom_site_fract_x
_atom_site_fract_y
_atom_site_fract_z
_atom_site_occupancy
Zn1 Zn 0.000 0.000 0.000 1
Zn2 Zn 0.000 0.500 0.278 1
Fe1 Fe 0.000 0.500 0.750 1
Co1 Co 0.000 0.000 0.523 1
```

Size of the total moment ... 8.2 Bohr magnetons per cell
Calculated formation energy ... 0.19 eV per formula unit
Calculated total energy ... -4.481 eV/atom
Crystal system ... orthorhombic
Energy above the most stable polymorph in this dataset ... 56 meV/atom

---

No. 3
A relaxed BeGeP2 crystal. Source: Alexandria via LeMat-Bulk, functional PBE.

Geometry as CIF:
```
data_BeGeP2
_symmetry_space_group_name_H-M 'I -4 2 d'
_symmetry_Int_Tables_number 122
_symmetry_space_group_name_Hall 'I -4 2bw'
_cell_length_a 5.206
_cell_length_b 5.206
_cell_length_c 10.455
_cell_angle_alpha 90.00
_cell_angle_beta 90.00
_cell_angle_gamma 90.00
loop_
_atom_site_label
_atom_site_type_symbol
_atom_site_fract_x
_atom_site_fract_y
_atom_site_fract_z
_atom_site_occupancy
Be1 Be 0.000 0.000 0.000 1
Ge1 Ge 0.000 0.000 0.500 1
P1 P 0.221 0.250 0.125 1
```

Size of the total moment ... 0.0 Bohr magnetons per cell
Calculated formation energy ... -1.10 eV per formula unit
Calculated total energy ... -5.065 eV/atom
Crystal system ... tetragonal
Energy above the most stable polymorph in this dataset ... 0 meV/atom

---

No. 4
A relaxed Li4LaAu8 crystal. Source: Alexandria via LeMat-Bulk, functional PBE.

Geometry as CIF:
```
data_Li4LaAu8
_symmetry_space_group_name_H-M 'I 4/m m m'
_symmetry_Int_Tables_number 139
_symmetry_space_group_name_Hall '-I 4 2'
_cell_length_a 9.299
_cell_length_b 9.299
_cell_length_c 5.354
_cell_angle_alpha 90.00
_cell_angle_beta 90.00
_cell_angle_gamma 90.00
loop_
_atom_site_label
_atom_site_type_symbol
_atom_site_fract_x
_atom_site_fract_y
_atom_site_fract_z
_atom_site_occupancy
Li1 Li 0.250 0.250 0.250 1
La1 La 0.000 0.000 0.000 1
Au1 Au 0.000 0.223 0.500 1
Au2 Au 0.000 0.339 0.000 1
```

Size of the total moment ... 0.0 Bohr magnetons per cell
Calculated formation energy ... -6.90 eV per formula unit
Calculated total energy ... -3.516 eV/atom
Crystal system ... tetragonal

---

No. 5
A relaxed Co2AuCl crystal. Source: Alexandria via LeMat-Bulk, functional PBE.

Geometry as CIF:
```
data_Co2AuCl
_symmetry_space_group_name_H-M 'C m m m'
_symmetry_Int_Tables_number 65
_symmetry_space_group_name_Hall '-C 2 2'
_cell_length_a 2.943
_cell_length_b 5.055
_cell_length_c 8.190
_cell_angle_alpha 90.00
_cell_angle_beta 90.00
_cell_angle_gamma 90.00
loop_
_atom_site_label
_atom_site_type_symbol
_atom_site_fract_x
_atom_site_fract_y
_atom_site_fract_z
_atom_site_occupancy
Co1 Co 0.000 0.000 0.230 1
Au1 Au 0.000 0.500 0.500 1
Cl1 Cl 0.000 0.500 0.000 1
```

Size of the total moment ... 7.9 Bohr magnetons per cell
Calculated total energy ... -4.354 eV/atom
Crystal system ... orthorhombic
ΔE_f (raw) ... 480 meV per atom
Energy above the most stable polymorph in this dataset ... 290 meV/atom

---

No. 6
A relaxed BeVC crystal. Source: Alexandria via LeMat-Bulk, functional PBE.

Geometry as CIF:
```
data_BeVC
_symmetry_space_group_name_H-M 'I 4 m m'
_symmetry_Int_Tables_number 107
_symmetry_space_group_name_Hall 'I 4 -2'
_cell_length_a 2.956
_cell_length_b 2.956
_cell_length_c 6.132
_cell_angle_alpha 90.00
_cell_angle_beta 90.00
_cell_angle_gamma 90.00
loop_
_atom_site_label
_atom_site_type_symbol
_atom_site_fract_x
_atom_site_fract_y
_atom_site_fract_z
_atom_site_occupancy
Be1 Be 0.000 0.000 0.000 1
V1 V 0.000 0.000 0.358 1
C1 C 0.000 0.000 0.727 1
```

Size of the total moment ... 0.0 Bohr magnetons per cell
Calculated formation energy ... 1.80 eV per formula unit
Calculated total energy ... -6.755 eV/atom
Crystal system ... tetragonal
Energy above the most stable polymorph in this dataset ... 818 meV/atom

---

The lowest calculated total energy belongs to which entry? BeVC

---

size of the total moment of number 2 (Zn2FeCo)? 8.2 Bohr magnetons per cell